VASP calculation (PBE) on a relaxed AlZnOs2 crystal.

Results
DOS at the Fermi energy ... 8.79 states/eV/cell
Magnetization ... 0.46 μB/f.u.
VASP energy ... -6.557 eV/atom
ΔE_f ... 0.31 eV per atom

Unit cell a=2.7734 b=4.7658 c=9.0208 alpha=90.00 beta=90.00 gamma=90.00
Space group Cmm2 (No. 35)
Asymmetric unit:
Al  0.0000  0.0000  0.0000 x2
Zn  0.0000  0.5000  0.2606 x2
Os  0.0000  0.0000  0.5122 x2
Os  0.0000  0.5000  0.7620 x2